Compound: FeReNi4
Source: the Alexandria database
Functional: GGA-PBE
Structure: relaxed

Calculated values
As for the formation energy: 0.12 eV per atom.

POSCAR file:
```
FeReNi4
1.0
0.0000 3.2696 3.2696
3.2696 0.0000 3.2696
3.2696 3.2696 0.0000
Ni Re Fe
4 1 1
Direct
0.3750 0.3750 0.8749
0.8749 0.3750 0.3750
0.3750 0.8749 0.3750
0.3750 0.3750 0.3750
0.7500 0.7500 0.7500
0.0000 0.0000 0.0000
```

---

Compound: Cs2CeZnO4
Source: the Alexandria database
Functional: GGA-PBE
Structure: relaxed

Calculated values
As for the formation energy (no corrections): -2.049 eV/atom.

POSCAR file:
```
Cs2CeZnO4
1.0
6.2602 -0.2032 -0.3113
-2.8513 5.5769 0.3113
-2.8513 -1.9593 5.2307
Cs O Ce Zn
2 4 1 1
Direct
0.5000 0.7500 0.2500
0.0000 0.0000 0.0000
0.6418 0.3792 0.5049
0.3582 0.8631 0.7375
0.1257 0.2625 0.6208
0.8743 0.4951 0.1369
0.5000 0.2500 0.7500
0.0000 0.5000 0.5000
```

---

Compound: Re3Cl5
Source: the Alexandria database
Functional: GGA-PBE
Structure: relaxed

Calculated values
As for the formation energy (no corrections): 1.039 eV/atom.

POSCAR file:
```
Re3Cl5
1.0
8.1778 0.0000 0.0000
-4.0889 7.0822 0.0000
0.0000 0.0000 5.3776
Cl Re
10 6
Direct
0.3333 0.6667 0.5000
0.0000 0.7831 0.7500
0.0000 0.2169 0.2500
0.7831 0.0000 0.7500
0.6667 0.3333 0.0000
0.3333 0.6667 0.0000
0.2169 0.2169 0.7500
0.7831 0.7831 0.2500
0.6667 0.3333 0.5000
0.2169 0.0000 0.2500
0.0000 0.5096 0.7500
0.0000 0.4904 0.2500
0.5096 0.0000 0.7500
0.4904 0.4904 0.7500
0.5096 0.5096 0.2500
0.4904 0.0000 0.2500
```

---

Compound: NaCa2AlF
Source: the Alexandria database
Functional: GGA-PBE
Structure: relaxed

Calculated values
As for the formation energy (no corrections): -1.131 eV/atom.

POSCAR file:
```
NaCa2AlF
1.0
4.9848 0.0000 0.0000
0.0000 4.9848 0.0000
0.0000 0.0000 4.6469
Ca F Na Al
2 1 1 1
Direct
0.5000 0.0000 0.0000
0.0000 0.5000 0.0000
0.0000 0.0000 0.0000
0.0000 0.0000 0.5000
0.5000 0.5000 0.5000
```

---

Compound: KBHO2
Source: the Alexandria database
Functional: GGA-PBE
Structure: relaxed

Calculated values
Its total DFT energy (no corrections) is -55.8 eV per cell.

POSCAR file:
```
KBHO2
1.0
2.5858 0.0000 0.0000
-1.2929 10.1840 -0.2445
0.0000 -2.4533 4.8882
B O H K
2 4 2 2
Direct
0.0572 0.1144 0.1003
0.9428 0.8856 0.8997
0.3986 0.7973 0.8220
0.6014 0.2027 0.1780
0.9999 0.9998 0.2041
0.0001 0.0002 0.7959
0.7505 0.5009 0.0010
0.2495 0.4991 0.9990
0.5979 0.1959 0.6712
0.4021 0.8041 0.3288
```

---

Compound: ReTcAu
Source: the Alexandria database
Functional: GGA-PBE
Structure: relaxed

Calculated values
As for the formation energy: 0.30 eV per atom.

POSCAR file:
```
ReTcAu
1.0
4.8712 -0.0054 -0.0042
2.4604 4.2041 0.0042
-3.2537 -2.8189 2.2793
Re Au Tc
1 1 1
Direct
0.3253 0.3253 0.0000
0.0001 0.0001 0.0000
0.6746 0.6746 0.0000
```